A plane-wave DFT calculation with PBE was carried out for CdFeSb2 after structural relaxation.

Calculated values
E_tot = -4.163 eV per atom
raw formation energy = 0.24 eV per atom
M_tot = 1.68 μB per formula unit
DOS(E_F) = 3.153 states/eV per cell

Lattice parameters (Å, degrees): 3.191 3.191 8.509 90.00 90.00 90.00
Element x y z (fractional)
Sb (0.500, 0.500, 0.267)
Sb (0.000, 0.000, 0.925)
Cd (0.000, 0.000, 0.550)
Fe (0.500, 0.500, 0.758)